No. 1
Computed, not measured: La6IrOs2I3 after structural relaxation at the PBE-GGA level of DFT.

Raw formation energy: -80 kJ per mole of atoms

Cell and atoms, written as CIF:
```
data_La6IrOs2I3
_chemical_formula_sum 'La12 Ir2 Os4 I6'
_symmetry_space_group_name_H-M 'C 1 2/m 1'
_symmetry_Int_Tables_number 12
_cell_length_a 7.366
_cell_length_b 12.759
_cell_length_c 8.557
_cell_angle_alpha 90.00
_cell_angle_beta 106.69
_cell_angle_gamma 90.00
loop_
_symmetry_equiv_pos_as_xyz
'x,y,z'
'-x,-y,-z'
'-x,y,-z'
'x,-y,z'
'x+1/2,y+1/2,z'
'-x+1/2,-y+1/2,-z'
'-x+1/2,y+1/2,-z'
'x+1/2,-y+1/2,z'
loop_
_atom_site_label
_atom_site_type_symbol
_atom_site_fract_x
_atom_site_fract_y
_atom_site_fract_z
La1 La 0.223 0.000 0.184
La2 La 0.231 0.331 0.184
Ir1 Ir 0.000 0.500 0.000
Os1 Os 0.000 0.167 0.000
I1 I 0.000 0.000 0.500
I2 I 0.000 0.333 0.500
```

No. 2
Computed, not measured: La4IrOsI2 after structural relaxation at the PBE-GGA level of DFT.

Raw formation energy: -87 kJ per mole of atoms

Cell and atoms, written as CIF:
```
data_La4IrOsI2
_chemical_formula_sum 'La4 Ir1 Os1 I2'
_symmetry_space_group_name_H-M 'P 1 2/m 1'
_symmetry_Int_Tables_number 10
_cell_length_a 7.359
_cell_length_b 4.257
_cell_length_c 8.573
_cell_angle_alpha 90.00
_cell_angle_beta 106.65
_cell_angle_gamma 90.00
loop_
_symmetry_equiv_pos_as_xyz
'x,y,z'
'-x,-y,-z'
'-x,y,-z'
'x,-y,z'
loop_
_atom_site_label
_atom_site_type_symbol
_atom_site_fract_x
_atom_site_fract_y
_atom_site_fract_z
La1 La 0.224 0.000 0.185
La2 La 0.267 0.500 0.817
Ir1 Ir 0.500 0.000 0.000
Os1 Os 0.000 0.500 0.000
I1 I 0.000 0.000 0.500
I2 I 0.500 0.500 0.500
```

No. 3
Computed, not measured: La6Ir2OsI2 after structural relaxation at the PBE-GGA level of DFT.

Raw formation energy: -77 kJ per mole of atoms

Cell and atoms, written as CIF:
```
data_La6Ir2OsI2
_chemical_formula_sum 'La12 Ir4 Os2 I4'
_symmetry_space_group_name_H-M 'C 1 2/m 1'
_symmetry_Int_Tables_number 12
_cell_length_a 7.351
_cell_length_b 12.754
_cell_length_c 8.668
_cell_angle_alpha 90.00
_cell_angle_beta 106.50
_cell_angle_gamma 90.00
loop_
_symmetry_equiv_pos_as_xyz
'x,y,z'
'-x,-y,-z'
'-x,y,-z'
'x,-y,z'
'x+1/2,y+1/2,z'
'-x+1/2,-y+1/2,-z'
'-x+1/2,y+1/2,-z'
'x+1/2,-y+1/2,z'
loop_
_atom_site_label
_atom_site_type_symbol
_atom_site_fract_x
_atom_site_fract_y
_atom_site_fract_z
La1 La 0.223 0.167 0.181
La2 La 0.236 0.500 0.180
Ir1 Ir 0.000 0.332 0.000
Os1 Os 0.000 0.000 0.000
I1 I 0.000 0.166 0.500
```